Density functional theory data (SCAN) for a crystal of Si2HPt relaxed with PBEsol.

Results
calculated density = 8.7 g/cm³
density of states at the Fermi level = 0.42 states/eV/atom
energy = -23.342 eV per atom
space-group type = Fm-3m

Cell: 4.0790 4.0790 4.0790 Å, 60.00 60.00 60.00°
Last column: nearest neighbours and their distance in Å.
Sites, in units of the cell vectors:
H  0.0000  0.0000  0.0000  8 Si 2.50
Si  0.2500  0.2500  0.2500  4 H 2.50, 4 Pt 2.50
Si  0.7500  0.7500  0.7500  4 H 2.50, 4 Pt 2.50
Pt  0.5000  0.5000  0.5000  8 Si 2.50